The following is a DFT calculation (PBE) of a geometry-optimized Pr4PdPt structure.

The density of states at the Fermi level is 7.60 states/eV/f.u. The calculation puts the formation energy at -595 meV/atom. Its total energy is -67.840 eV per cell.

The structure in POSCAR format:
```
Pr4PdPt
1.0
-4.188 2.893 -4.305
3.045 -3.624 -5.397
-4.682 -5.357 0.956
Pd Pr Pt
2 8 2
direct
0.750 0.500 0.500 Pd
0.250 0.500 0.500 Pd
0.500 0.177 0.318 Pr
0.500 0.682 0.177 Pr
0.000 0.318 0.177 Pr
0.000 0.177 0.682 Pr
0.500 0.823 0.682 Pr
0.000 0.823 0.318 Pr
0.000 0.682 0.823 Pr
0.500 0.318 0.823 Pr
0.750 0.000 0.000 Pt
0.250 0.000 0.000 Pt
```